1.
Here is a relaxed Tb4Te3Pb crystal from the Alexandria database. Energies are from PBE-GGA.

Results
Energy relative to the lowest polymorph listed for this composition: 0.002 eV/atom
Space group: No. 13

```
Tb4Te3Pb
1.0
7.6122 0.0000 0.0000
0.0000 8.8397 0.0000
-2.5748 0.0000 7.1894
Tb Te Pb
8 6 2
direct
0.2448 0.1216 0.0010
0.2448 0.8784 0.5010
0.2468 0.3709 0.4948
0.2468 0.6291 0.9948
0.7532 0.3709 0.0052
0.7532 0.6291 0.5052
0.7552 0.1216 0.4990
0.7552 0.8784 0.9990
0.0000 0.3755 0.7500
0.0000 0.6245 0.2500
0.5000 0.1269 0.7500
0.5000 0.3770 0.2500
0.5000 0.6230 0.7500
0.5000 0.8731 0.2500
0.0000 0.1253 0.2500
0.0000 0.8747 0.7500
```

---

2.
Here is a relaxed Tb2TePb crystal from the Alexandria database. Energies are from PBE-GGA.

Results
Energy relative to the lowest polymorph listed for this composition: 0.000 eV/atom
Space group: No. 141

```
Tb2TePb
1.0
-3.1263 3.1263 6.2657
3.1263 -3.1263 6.2657
3.1263 3.1263 -6.2657
Tb Te Pb
4 2 2
direct
0.1232 0.3732 0.7500
0.3732 0.1232 0.2500
0.6268 0.8768 0.7500
0.8768 0.6268 0.2500
0.3750 0.6250 0.7500
0.6250 0.3750 0.2500
0.1250 0.8750 0.2500
0.8750 0.1250 0.7500
```

---

3.
Here is a relaxed TbTe2Pb crystal from the Alexandria database. Energies are from PBE-GGA.

Results
Space group: No. 166

```
TbTe2Pb
1.0
2.1026 1.2139 10.0573
-2.1026 1.2139 10.0573
0.0000 -2.4279 10.0573
Tb Te Pb
1 2 1
direct
0.0000 0.0000 0.0000
0.3949 0.3949 0.3949
0.6051 0.6051 0.6051
0.5000 0.5000 0.5000
```

---

4.
Here is a relaxed TbTePb crystal from the Alexandria database. Energies are from PBE-GGA.

Results
Space group: No. 189

```
TbTePb
1.0
8.9073 0.0000 0.0000
-4.4536 7.7139 0.0000
0.0000 0.0000 3.9866
Tb Te Pb
3 3 3
direct
0.0000 0.0000 0.0000
0.3333 0.6667 0.5000
0.6667 0.3333 0.5000
0.0000 0.7341 0.5000
0.2659 0.2659 0.5000
0.7341 0.0000 0.5000
0.0000 0.4350 0.0000
0.4350 0.0000 0.0000
0.5650 0.5650 0.0000
```

---

5.
Here is a relaxed Tb2TePb crystal from the Alexandria database. Energies are from PBE-GGA.

Results
Energy relative to the lowest polymorph listed for this composition: 0.182 eV/atom
Space group: No. 123

```
Tb2TePb
1.0
3.7041 0.0000 0.0000
0.0000 3.7041 0.0000
0.0000 0.0000 8.1829
Tb Te Pb
2 1 1
direct
0.0000 0.0000 0.2368
0.0000 0.0000 0.7632
0.5000 0.5000 0.0000
0.5000 0.5000 0.5000
```

---

6.
Here is a relaxed Tb3TePb2 crystal from the Alexandria database. Energies are from PBE-GGA.

Results
Space group: No. 71

```
Tb3TePb2
1.0
-2.1722 3.1398 6.7925
2.1722 -3.1398 6.7925
2.1722 3.1398 -6.7925
Tb Te Pb
3 1 2
direct
0.0000 0.0000 0.0000
0.3338 0.3338 0.0000
0.6662 0.6662 0.0000
0.5000 0.0000 0.5000
0.1648 0.6648 0.5000
0.8352 0.3352 0.5000
```

---

7.
Here is a relaxed Tb4TePb crystal from the Alexandria database. Energies are from PBE-GGA.

Results
Space group: No. 15

```
Tb4TePb
1.0
8.3932 -3.2121 0.0000
8.3932 3.2121 0.0000
-1.8779 0.0000 7.2929
Tb Te Pb
8 2 2
direct
0.0204 0.8240 0.5533
0.1760 0.9796 0.9467
0.2591 0.4548 0.8700
0.4548 0.2591 0.3700
0.5452 0.7409 0.6300
0.7409 0.5452 0.1300
0.8240 0.0204 0.0533
0.9796 0.1760 0.4467
0.0000 0.5000 0.5000
0.5000 0.0000 0.0000
0.3524 0.6476 0.2500
0.6476 0.3524 0.7500
```

---

8.
Here is a relaxed Tb4Te4Pb crystal from the Alexandria database. Energies are from PBE-GGA.

Results
Space group: No. 12

```
Tb4Te4Pb
1.0
7.3601 -2.1882 0.0000
7.3601 2.1882 0.0000
-5.4561 0.0000 9.3827
Tb Te Pb
4 4 1
direct
0.0972 0.0972 0.3984
0.3007 0.3007 0.1970
0.6993 0.6993 0.8030
0.9028 0.9028 0.6016
0.1022 0.1022 0.9013
0.3025 0.3025 0.7018
0.6975 0.6975 0.2982
0.8978 0.8978 0.0987
0.5000 0.5000 0.5000
```

---

9.
Here is a relaxed Tb5Te2Pb2 crystal from the Alexandria database. Energies are from PBE-GGA.

Results
Energy relative to the lowest polymorph listed for this composition: 0.000 eV/atom
Space group: No. 64

```
Tb5Te2Pb2
1.0
7.7718 -4.0869 0.0000
7.7718 4.0869 0.0000
0.0000 0.0000 8.2393
Tb Te Pb
10 4 4
direct
0.0000 0.0000 0.0000
0.0271 0.6994 0.6614
0.1994 0.5271 0.1614
0.3006 0.9729 0.6614
0.4729 0.8006 0.1614
0.5000 0.5000 0.5000
0.5271 0.1994 0.8386
0.6994 0.0271 0.3386
0.8006 0.4729 0.8386
0.9729 0.3006 0.3386
0.2006 0.2006 0.0000
0.2994 0.2994 0.5000
0.7006 0.7006 0.5000
0.7994 0.7994 0.0000
0.1411 0.8589 0.3602
0.3589 0.6411 0.8602
0.6411 0.3589 0.1398
0.8589 0.1411 0.6398
```

---

10.
Here is a relaxed Tb2Te4Pb crystal from the Alexandria database. Energies are from PBE-GGA.

Results
Space group: No. 12

```
Tb2Te4Pb
1.0
8.4614 -2.2215 0.0000
8.4614 2.2215 0.0000
-3.2808 0.0000 6.9461
Tb Te Pb
2 4 1
direct
0.2394 0.2394 0.2244
0.7606 0.7606 0.7756
0.1409 0.1409 0.4864
0.3715 0.3715 0.0394
0.6285 0.6285 0.9606
0.8591 0.8591 0.5136
0.5000 0.5000 0.5000
```

---

11.
Here is a relaxed Tb4Te3Pb crystal from the Alexandria database. Energies are from PBE-GGA.

Results
Energy relative to the lowest polymorph listed for this composition: 0.000 eV/atom
Space group: No. 65

```
Tb4Te3Pb
1.0
4.3974 -6.2293 0.0000
4.3974 6.2293 0.0000
0.0000 0.0000 4.4133
Tb Te Pb
4 3 1
direct
0.2437 0.2437 0.5000
0.2461 0.7539 0.0000
0.7539 0.2461 0.0000
0.7563 0.7563 0.5000
0.0000 0.5000 0.5000
0.5000 0.0000 0.5000
0.5000 0.5000 0.0000
0.0000 0.0000 0.0000
```

---

12.
Here is a relaxed Tb4TePb3 crystal from the Alexandria database. Energies are from PBE-GGA.

Results
Space group: No. 12

```
Tb4TePb3
1.0
6.2875 -4.6833 0.0000
6.2875 4.6833 0.0000
-0.0374 0.0000 4.2060
Tb Te Pb
4 1 3
direct
0.2474 0.7526 0.0000
0.2492 0.2492 0.5008
0.7508 0.7508 0.4992
0.7526 0.2474 0.0000
0.0000 0.0000 0.5000
0.0000 0.5000 0.0000
0.5000 0.0000 0.0000
0.5000 0.5000 0.5000
```

---

13.
Here is a relaxed Tb2TePb crystal from the Alexandria database. Energies are from PBE-GGA.

Results
Energy relative to the lowest polymorph listed for this composition: 0.024 eV/atom
Space group: No. 166

```
Tb2TePb
1.0
2.2167 1.2798 7.2470
-2.2167 1.2798 7.2470
0.0000 -2.5596 7.2470
Tb Te Pb
2 1 1
direct
0.2469 0.2469 0.2469
0.7531 0.7531 0.7531
0.0000 0.0000 0.0000
0.5000 0.5000 0.5000
```

---

14.
Here is a relaxed Tb2TePb crystal from the Alexandria database. Energies are from PBE-GGA.

Results
Energy relative to the lowest polymorph listed for this composition: 0.115 eV/atom
Space group: No. 160

```
Tb2TePb
1.0
2.1938 1.2666 7.5558
-2.1938 1.2666 7.5558
0.0000 -2.5332 7.5558
Tb Te Pb
2 1 1
direct
0.0000 0.0000 0.0000
0.1775 0.1775 0.1775
0.7577 0.7577 0.7577
0.5876 0.5876 0.5876
```

---

15.
Here is a relaxed Tb6Te3Pb crystal from the Alexandria database. Energies are from PBE-GGA.

Results
Space group: No. 11

```
Tb6Te3Pb
1.0
12.2282 0.0000 0.0000
0.0000 4.1517 0.0000
-3.1557 0.0000 12.2298
Tb Te Pb
12 6 2
direct
0.0140 0.2500 0.3545
0.0804 0.2500 0.8858
0.2521 0.7500 0.2965
0.2883 0.7500 0.7618
0.3801 0.2500 0.5389
0.4479 0.7500 0.1188
0.5521 0.2500 0.8812
0.6199 0.7500 0.4611
0.7117 0.2500 0.2382
0.7479 0.2500 0.7035
0.9196 0.7500 0.1142
0.9860 0.7500 0.6455
0.1098 0.2500 0.1416
0.1736 0.7500 0.5112
0.3352 0.2500 0.9492
0.6648 0.7500 0.0508
0.8264 0.2500 0.4888
0.8902 0.7500 0.8584
0.4568 0.2500 0.3106
0.5432 0.7500 0.6894
```

---

16.
Here is a relaxed Tb5Te2Pb2 crystal from the Alexandria database. Energies are from PBE-GGA.

Results
Energy relative to the lowest polymorph listed for this composition: 0.201 eV/atom
Space group: No. 46

```
Tb5Te2Pb2
1.0
-8.6897 3.9005 4.1234
8.6897 -3.9005 4.1234
8.6897 3.9005 -4.1234
Tb Te Pb
10 4 4
direct
0.0950 0.0183 0.5767
0.2228 0.0549 0.2777
0.2228 0.4451 0.6679
0.4416 0.5183 0.4233
0.4755 0.7676 0.0173
0.4755 0.9582 0.2079
0.7504 0.2676 0.7921
0.7504 0.4582 0.9827
0.7772 0.5549 0.3322
0.7772 0.9451 0.7223
0.7304 0.2304 0.5000
0.7304 0.7304 0.0000
0.8922 0.1807 0.2115
0.9692 0.6807 0.7885
0.2298 0.3624 0.0428
0.2298 0.6870 0.3674
0.3196 0.1870 0.9572
0.3196 0.8624 0.6326
```

---

17.
Here is a relaxed Tb2Tl3Te6Pb crystal from the Alexandria database. Energies are from PBE-GGA.

Results
Space group: No. 12

```
Tb2Tl3Te6Pb
1.0
3.9395 -6.8298 0.0000
3.9395 6.8298 0.0000
-2.6259 0.0000 7.8874
Tb Tl Te Pb
2 3 6 1
direct
0.1686 0.8314 0.0000
0.8314 0.1686 0.0000
0.0000 0.0000 0.5000
0.3384 0.6616 0.5000
0.6616 0.3384 0.5000
0.0758 0.4245 0.7758
0.2228 0.2228 0.2178
0.4245 0.0758 0.7758
0.5755 0.9242 0.2242
0.7772 0.7772 0.7822
0.9242 0.5755 0.2242
0.5000 0.5000 0.0000
```

---

18.
Here is a relaxed Tb2TlTe6Pb3 crystal from the Alexandria database. Energies are from PBE-GGA.

Results
Space group: No. 12

```
Tb2TlTe6Pb3
1.0
9.9689 -2.2427 0.0000
9.9689 2.2427 0.0000
-2.1940 0.0000 9.2239
Tb Tl Te Pb
2 1 6 3
direct
0.1683 0.1683 0.3462
0.8317 0.8317 0.6538
0.5000 0.5000 0.0000
0.0104 0.0104 0.2643
0.3236 0.3236 0.8844
0.3298 0.3298 0.4192
0.6702 0.6702 0.5808
0.6764 0.6764 0.1156
0.9896 0.9896 0.7357
0.1579 0.1579 0.8469
0.5000 0.5000 0.5000
0.8421 0.8421 0.1531
```

---

19.
Here is a relaxed Tb6TlTe3Pb2 crystal from the Alexandria database. Energies are from PBE-GGA.

Results
Space group: No. 12

```
Tb6TlTe3Pb2
1.0
9.7414 -2.2034 0.0000
9.7414 2.2034 0.0000
-2.5074 0.0000 8.5329
Tb Tl Te Pb
6 1 3 2
direct
0.0013 0.0013 0.2512
0.3314 0.3314 0.9252
0.3342 0.3342 0.4175
0.6658 0.6658 0.5825
0.6686 0.6686 0.0748
0.9987 0.9987 0.7488
0.5000 0.5000 0.5000
0.1681 0.1681 0.3296
0.5000 0.5000 0.0000
0.8319 0.8319 0.6704
0.1645 0.1645 0.8271
0.8355 0.8355 0.1729
```

---

20.
Here is a relaxed TbYTePb crystal from the Alexandria database. Energies are from PBE-GGA.

Results
Space group: No. 123

```
TbYTePb
1.0
4.4189 0.0000 0.0000
0.0000 4.4189 0.0000
0.0000 0.0000 6.2427
Tb Y Te Pb
1 1 1 1
direct
0.0000 0.0000 0.0000
0.5000 0.5000 0.5000
0.5000 0.5000 0.0000
0.0000 0.0000 0.5000
```

---

Number 1: ΔE_f (raw) -1156 meV/atom. Number 2: ΔE_f (raw) -976 meV/atom. Number 3: ΔE_f (raw) -769 meV/atom. Number 4: ΔE_f (raw) -626 meV/atom. Number 5: ΔE_f (raw) -793 meV/atom. Number 6: ΔE_f (raw) -773 meV/atom. Number 7: ΔE_f (raw) -398 meV/atom. Number 8: ΔE_f (raw) -1223 meV/atom. Number 9: ΔE_f (raw) -863 meV/atom. Number 10: ΔE_f (raw) -1103 meV/atom. Number 11: ΔE_f (raw) -1158 meV/atom. Number 12: ΔE_f (raw) -668 meV/atom. Number 13: ΔE_f (raw) -951 meV/atom. Number 14: ΔE_f (raw) -861 meV/atom. Number 15: ΔE_f (raw) -848 meV/atom. Number 16: ΔE_f (raw) -661 meV/atom. Number 17: ΔE_f (raw) -793 meV/atom. Number 18: ΔE_f (raw) -713 meV/atom. Number 19: ΔE_f (raw) -897 meV/atom. Number 20: ΔE_f (raw) -969 meV/atom.